# 1
Li5Zn6Ni | PBE | optimized geometry

Calculated values
* symmetry: C2/m (12)
* formation energy: -185 meV/atom

Cell lengths 7.3004, 7.3004, 4.1793 Å; angles 105.97, 105.97, 53.00 degrees
With the nearest neighbours (Å) after each atom.
Fractional coordinates of all 12 atoms:
Li (0.0000, 0.0000, 0.0000)  8 Zn 2.63-2.77, 4 Li 2.89-2.92
Li (0.1626, 0.1626, 0.6608)  8 Zn 2.69-2.72, 4 Li 2.86-2.92
Li (0.3232, 0.3232, 0.3251)  8 Zn 2.60-2.66, 1 Li 2.86
Li (0.6768, 0.6768, 0.6749)  8 Zn 2.60-2.66, 1 Li 2.86
Li (0.8374, 0.8374, 0.3392)  8 Zn 2.69-2.72, 4 Li 2.86-2.92
Zn (0.1038, 0.5761, 0.8426)  1 Ni 2.52, 7 Li 2.60-2.71
Zn (0.2802, 0.7198, 0.5000)  2 Ni 2.53, 6 Li 2.62-2.77
Zn (0.4239, 0.8962, 0.1574)  1 Ni 2.52, 7 Li 2.60-2.71
Zn (0.5761, 0.1038, 0.8426)  1 Ni 2.52, 7 Li 2.60-2.71
Zn (0.7198, 0.2802, 0.5000)  2 Ni 2.53, 6 Li 2.62-2.77
Zn (0.8962, 0.4239, 0.1574)  1 Ni 2.52, 7 Li 2.60-2.71
Ni (0.5000, 0.5000, 0.0000)  8 Zn 2.52-2.53

# 2
BeReBr2 | PBE | optimized geometry

Calculated values
* symmetry: C2/m (12)
* E_form (uncorrected): 0.28 eV/atom
* excess energy over the best structure of this formula in the dataset: 123 meV/atom

Cell lengths 8.0510, 8.0510, 3.4380 Å; angles 102.09, 102.09, 23.26 degrees
With the nearest neighbours (Å) after each atom.
Fractional coordinates of all 4 atoms:
Be (0.0000, 0.0000, 0.0000)  4 Re 2.36
Re (0.5000, 0.5000, 0.5000)  4 Be 2.36, 4 Br 2.62
Br (0.1331, 0.1331, 0.6303)  2 Re 2.62, 2 Be 2.68
Br (0.8669, 0.8669, 0.3697)  2 Re 2.62, 2 Be 2.68

# 3
MgIrW | PBE | optimized geometry

Calculated values
* symmetry: F-43m (216)
* formation energy: 153 meV/atom
* excess energy over the best structure of this formula in the dataset: 339 meV/atom

Cell lengths 4.2731, 4.2731, 4.2731 Å; angles 60.00, 60.00, 60.00 degrees
With the nearest neighbours (Å) after each atom.
Fractional coordinates of all 3 atoms:
Mg (0.0000, 0.0000, 0.0000)  4 Ir 2.62
Ir (0.7500, 0.7500, 0.7500)  4 Mg 2.62, 4 W 2.62
W (0.5000, 0.5000, 0.5000)  4 Ir 2.62

Values of spin magnetization, in order: 0.0, 0.0, 0.0, all in μB per formula unit.
Values of DOS(E_F), in order: 3.9, 1.7, 4.0, all in states/eV per cell.